# Sm4Cu3Os, optimized geometry, DFT PBE
data_Sm4Cu3Os
_chemical_formula_sum 'Sm4 Cu3 Os1'
_cell_length_a 4.9744
_cell_length_b 4.9744
_cell_length_c 7.1023
_cell_angle_alpha 90.00
_cell_angle_beta 90.00
_cell_angle_gamma 90.00
_space_group_name_H-M_alt 'P 4/m m m'
_space_group_IT_number 123
_space_group_name_Hall '-P 4 2'
loop_
_atom_site_label
_atom_site_fract_x
_atom_site_fract_y
_atom_site_fract_z
_atom_site_occupancy
Sm1 0.0000 0.5000 0.2419 1
Cu1 0.0000 0.0000 0.0000 1
Cu2 0.0000 0.0000 0.5000 1
Cu3 0.5000 0.5000 0.5000 1
Os1 0.5000 0.5000 0.0000 1
# Size of the total moment = 0.00 μB/cell
# Energy relative to the elements = -0.17 eV per atom
# Total DFT energy (no corrections) = -5.465 eV per atom


# PuTh5N6, optimized geometry, DFT PBE
data_PuTh5N6
_chemical_formula_sum 'Pu2 Th10 N12'
_cell_length_a 6.2999
_cell_length_b 10.9201
_cell_length_c 6.3094
_cell_angle_alpha 90.00
_cell_angle_beta 109.44
_cell_angle_gamma 90.00
_space_group_name_H-M_alt 'C 1 2/m 1'
_space_group_IT_number 12
loop_
_space_group_symop_operation_xyz
'x,y,z'
'-x,-y,-z'
'-x,y,-z'
'x,-y,z'
'x+1/2,y+1/2,z'
'-x+1/2,-y+1/2,-z'
'-x+1/2,y+1/2,-z'
'x+1/2,-y+1/2,z'
loop_
_atom_site_label
_atom_site_fract_x
_atom_site_fract_y
_atom_site_fract_z
_atom_site_occupancy
Pu1 0.0000 0.0000 0.0000 1
Th1 0.0000 0.1658 0.5000 1
Th2 0.0000 0.3333 0.0000 1
Th3 0.0000 0.5000 0.5000 1
N1 0.2486 0.0000 0.7501 1
N2 0.2489 0.1662 0.2488 1
# Size of the total moment = 10.71 μB/cell
# Total DFT energy (no corrections) = -9.957 eV per atom
# Energy relative to the elements, uncorrected = -1.51 eV per atom


size of the total moment of number 2 (PuTh5N6)? 10.71 μB/cell


total DFT energy (no corrections) of number 1 (Sm4Cu3Os)? -5.465 eV per atom